DFT (PBE) results for a relaxed Ac7Co3Ni crystal.

Cell lengths 7.2727, 7.2727, 7.0357 Å; angles 102.44, 102.44, 99.71 degrees
Last column: nearest neighbours and their distance in Å.
Fractional coordinates of all 11 atoms:
Ac1 0.0000 0.0000 0.0000  2 Co 3.04
Ac2 0.1328 0.5518 0.2693  2 Co 2.77-2.94
Ac3 0.3356 0.3356 0.7532  1 Co 2.72
Ac4 0.4482 0.8672 0.7307  2 Co 2.77-2.94
Ac5 0.5518 0.1328 0.2693  2 Co 2.77-2.94
Ac6 0.6644 0.6644 0.2468  1 Co 2.72
Ac7 0.8672 0.4482 0.7307  2 Co 2.77-2.94
Co1 0.2732 0.7268 0.0000  3 Ac 2.77-3.04
Co2 0.5000 0.5000 0.5000  6 Ac 2.72-2.94
Co3 0.7268 0.2732 0.0000  3 Ac 2.77-3.04
Ni1 0.0000 0.0000 0.5000  2 Ac 3.05

Output
mass density	8.76	g cm⁻³
DOS(E_F)	8.8	states/eV/cell
symmetry	No. 12
calculated total energy	-54.91	eV per formula unit